Sn3GePt12, relaxed, DFT PBE-GGA; total magnetization = 0.00 Bohr magnetons per cell; space-group type = No. 123; formation enthalpy at 0 K = -8.3 kcal/mol of atoms
1.0
-0.0070 -0.7748 3.9675
0.0198 -3.9675 -0.7747
16.1303 0.0722 0.0425
Sn Pt Ge
3 12 1
direct
0.0000 0.0000 0.2471
0.0000 0.0000 0.5000
0.0000 0.0000 0.7529
0.5000 0.5000 0.7535
0.0000 0.5000 0.1197
0.5000 0.0000 0.8803
0.5000 0.0000 0.1197
0.5000 0.0000 0.3734
0.0000 0.5000 0.6266
0.5000 0.5000 0.2465
0.5000 0.5000 0.5000
0.0000 0.5000 0.8803
0.5000 0.5000 0.0000
0.5000 0.0000 0.6266
0.0000 0.5000 0.3734
0.0000 0.0000 0.0000